No. 1
Ba3BeIr after structural relaxation. Source: OQMD via LeMat-Bulk, functional PBE-GGA.

abc: 5.760 5.760 5.760
angles: 90.00 90.00 90.00
Fractional coordinates of all 5 atoms:
Ba1 0.000 0.000 0.500
Ba2 0.000 0.500 0.000
Ba3 0.500 0.000 0.000
Be1 0.000 0.000 0.000
Ir1 0.500 0.500 0.500

Computed properties:
* space group: Pm-3m, No. 221

No. 2
DyYSbI2 after structural relaxation. Source: OQMD via LeMat-Bulk, functional PBE-GGA.

abc: 4.342 4.342 11.190
angles: 90.00 90.00 120.00
Fractional coordinates of all 5 atoms:
Dy1 0.000 0.000 0.000
Y1 0.333 0.667 0.302
Sb1 0.667 0.333 0.151
I1 0.000 0.000 0.475
I2 0.333 0.667 0.827

Computed properties:
* space group: P3m1, No. 156

No. 3
RbTbTeO after structural relaxation. Source: OQMD via LeMat-Bulk, functional PBE-GGA.

abc: 4.324 4.324 10.841
angles: 90.00 90.00 90.00
Fractional coordinates of all 8 atoms:
Rb1 0.250 0.750 0.000
Rb2 0.750 0.250 0.000
Tb1 0.250 0.250 0.418
Tb2 0.750 0.750 0.582
Te1 0.250 0.250 0.756
Te2 0.750 0.750 0.244
O1 0.250 0.750 0.500
O2 0.750 0.250 0.500

Computed properties:
* offset from the most stable computed form: 1.20 eV/f.u.
* space group: P4/nmm, No. 129

No. 4
KGdAlTe3 after structural relaxation. Source: OQMD via LeMat-Bulk, functional PBE-GGA.

abc: 7.991 7.991 11.742
angles: 90.00 90.00 144.89
Fractional coordinates of all 12 atoms:
K1 0.249 0.751 0.750
K2 0.751 0.249 0.250
Gd1 0.000 0.000 0.000
Gd2 0.000 0.000 0.500
Al1 0.482 0.518 0.250
Al2 0.518 0.482 0.750
Te1 0.069 0.931 0.250
Te2 0.373 0.627 0.067
Te3 0.373 0.627 0.433
Te4 0.627 0.373 0.567
Te5 0.627 0.373 0.933
Te6 0.931 0.069 0.750

Computed properties:
* space group: Cmcm, No. 63

No. 5
Y2CuB2 after structural relaxation. Source: OQMD via LeMat-Bulk, functional PBE-GGA.

abc: 7.172 7.172 3.601
angles: 90.00 90.00 154.26
Fractional coordinates of all 5 atoms:
Y1 0.133 0.867 0.000
Y2 0.867 0.133 0.000
Cu1 0.500 0.500 0.500
B1 0.271 0.729 0.500
B2 0.729 0.271 0.500

Computed properties:
* space group: Cmmm, No. 65

No. 6
NaHoHgSe3 after structural relaxation. Source: OQMD via LeMat-Bulk, functional PBE-GGA.

abc: 8.039 4.145 10.118
angles: 90.00 105.09 90.00
Fractional coordinates of all 12 atoms:
Na1 0.236 0.250 0.253
Na2 0.764 0.750 0.747
Ho1 0.319 0.750 0.861
Ho2 0.681 0.250 0.139
Hg1 0.093 0.250 0.609
Hg2 0.907 0.750 0.391
Se1 0.065 0.250 0.861
Se2 0.274 0.750 0.547
Se3 0.441 0.750 0.147
Se4 0.559 0.250 0.853
Se5 0.726 0.250 0.453
Se6 0.935 0.750 0.139

Computed properties:
* offset from the most stable computed form: 0.03 eV/f.u.
* space group: P2_1/m, No. 11

no.,calculated total energy (eV/atom),volume (Å³ per cell)
1,-2.8154,191.1
2,-4.9300,182.7
3,-5.2359,202.7
4,-4.0813,431.2
5,-6.3599,80.4
6,-3.8744,325.5